Compound: Mo4Ru2N
Source: the Alexandria database
Functional: GGA-PBE
Structure: optimized geometry

Summary:
The value obtained for the uncorrected energy is -10.0292 eV/atom. As for the volume: 391 Å³/cell. As for the formation energy from raw total energies: 0.000 eV/atom.

Lattice parameters (Å, degrees): 8.210 8.210 8.210 60.00 60.00 60.00
Fractional positions:
Mo  0.809  0.191  0.809
Ru  0.838  0.838  0.838
Mo  0.625  0.625  0.625
Mo  0.809  0.809  0.191
Mo  0.625  0.125  0.625
Mo  0.441  0.059  0.441
Mo  0.125  0.625  0.625
Mo  0.441  0.059  0.059
Mo  0.441  0.441  0.059
Mo  0.059  0.441  0.059
N  0.625  0.125  0.125
Mo  0.191  0.809  0.191
Ru  0.412  0.412  0.764
Mo  0.191  0.809  0.809
Ru  0.412  0.412  0.412
N  0.125  0.625  0.125
Mo  0.809  0.191  0.191
Mo  0.059  0.441  0.441
Ru  0.486  0.838  0.838
Mo  0.059  0.059  0.441
Mo  0.625  0.625  0.125
N  0.125  0.125  0.125
Ru  0.838  0.838  0.486
Ru  0.838  0.486  0.838
Mo  0.191  0.191  0.809
Ru  0.412  0.764  0.412
N  0.125  0.125  0.625
Ru  0.764  0.412  0.412

Compound: ReOsPb
Source: the Alexandria database
Functional: GGA-PBE
Structure: optimized geometry

Summary:
The value obtained for the uncorrected energy is -8.4988 eV/atom. As for the volume: 56 Å³/cell. The formation energy comes out at 0.63 eV/atom.

Lattice parameters (Å, degrees): 6.563 6.563 3.000 76.79 76.79 26.43
Fractional positions:
Re  0.642  0.642  0.358
Pb  0.333  0.333  0.667
Os  0.025  0.025  0.975

Compound: CeHoSn
Source: the Alexandria database
Functional: GGA-PBE
Structure: optimized geometry

Summary:
The value obtained for the uncorrected energy is -4.7929 eV/atom. As for the volume: 102 Å³/cell. The formation energy comes out at 0.05 eV/atom.

Lattice parameters (Å, degrees): 6.414 6.414 6.414 40.94 40.94 40.94
Last column: magnetic moment on the atom in μB.
Fractional positions:
Ce  0.901  0.901  0.901  0.86
Ho  0.094  0.094  0.094  0.13
Sn  0.336  0.336  0.336  -0.03

Compound: CuSn2Ge
Source: the Alexandria database
Functional: GGA-PBE
Structure: optimized geometry

Summary:
The value obtained for the uncorrected energy is -3.9654 eV/atom. As for the volume: 85 Å³/cell. The formation energy comes out at 0.21 eV/atom.

Lattice parameters (Å, degrees): 3.437 3.437 7.175 90.00 90.00 90.00
Fractional positions:
Sn  0.000  0.000  0.227
Ge  0.500  0.500  0.500
Sn  0.000  0.000  0.773
Cu  0.500  0.500  0.000

Compound: Ho2Er3N4
Source: the Alexandria database
Functional: GGA-PBE
Structure: optimized geometry

Summary:
The value obtained for the uncorrected energy is -7.8070 eV/atom. As for the volume: 146 Å³/cell. As for the formation energy from raw total energies: -1.569 eV/atom.

Lattice parameters (Å, degrees): 3.449 5.986 7.718 75.37 77.09 73.26
Fractional positions:
Er  0.796  0.598  0.810
N  0.602  0.698  0.098
N  0.398  0.302  0.902
Ho  0.606  0.178  0.611
N  0.200  0.903  0.698
N  0.800  0.097  0.302
Er  0.204  0.402  0.190
Ho  0.394  0.822  0.389
Er  0.000  0.000  0.000

Compound: PmDyTm
Source: the Alexandria database
Functional: GGA-PBE
Structure: optimized geometry

Summary:
The value obtained for the uncorrected energy is -4.6118 eV/atom. As for the volume: 191 Å³/cell. The formation energy comes out at 0.00 eV/atom.

Lattice parameters (Å, degrees): 3.592 6.209 8.831 83.27 78.30 89.99
Fractional positions:
Dy  0.848  0.466  0.021
Pm  0.178  0.576  0.359
Tm  0.348  0.964  0.020
Dy  0.011  0.185  0.694
Pm  0.680  0.075  0.355
Tm  0.510  0.686  0.695

Compound: K2ScAlO4
Source: the Alexandria database
Functional: GGA-PBE
Structure: optimized geometry

Summary:
The value obtained for the uncorrected energy is -6.6450 eV/atom. As for the volume: 134 Å³/cell. As for the formation energy from raw total energies: -2.632 eV/atom.

Lattice parameters (Å, degrees): 5.766 5.766 5.766 88.36 120.95 120.95
Fractional positions:
O  0.112  0.260  0.614
Al  0.000  0.500  0.500
O  0.646  0.386  0.498
Sc  0.500  0.250  0.750
O  0.354  0.852  0.740
O  0.888  0.502  0.148
K  0.000  0.000  0.000
K  0.500  0.750  0.250

Compound: Sc4SbSe3
Source: the Alexandria database
Functional: GGA-PBE
Structure: optimized geometry

Summary:
The value obtained for the uncorrected energy is -6.4106 eV/atom. As for the volume: 174 Å³/cell. As for the formation energy from raw total energies: -1.423 eV/atom.

Lattice parameters (Å, degrees): 3.929 6.853 6.853 70.81 90.00 90.00
Fractional positions:
Se  0.500  0.000  0.500
Se  0.000  0.500  0.500
Sc  0.000  0.765  0.735
Sc  0.500  0.243  0.742
Sc  0.500  0.758  0.257
Sb  0.500  0.500  0.000
Sc  0.000  0.235  0.265
Se  0.000  0.000  0.000